[1]
{"formula": "MgV2ClO", "functional": "GGA+U", "state": "optimized geometry", "spacegroup": "No. 123", "final_energy_ev_per_cell": -18.48, "vol_a3_per_atom": 21.3, "lattice_angstrom": [[4.693, 0.000, 0.000], [0.000, 4.842, 0.000], [0.000, 0.000, 4.693]], "species": ["Mg", "Cl", "O", "V", "V"], "fractional_positions": [[0.000, 0.500, 0.000], [0.000, 0.000, 0.000], [0.500, 0.500, 0.500], [0.000, 0.000, 0.500], [0.500, 0.000, 0.000]]}

---

[2]
{"formula": "Mg2V2Cl2O5", "functional": "GGA+U", "state": "optimized geometry", "spacegroup": "No. 139", "final_energy_ev_per_cell": -67.88, "vol_a3_per_atom": 15.6, "lattice_angstrom": [[3.723, 0.000, 0.000], [0.000, 3.723, 0.000], [-1.861, -1.861, 12.370]], "species": ["Mg", "Mg", "V", "V", "Cl", "Cl", "O", "O", "O", "O", "O"], "fractional_positions": [[0.365, 0.365, 0.729], [0.635, 0.635, 0.271], [0.072, 0.072, 0.144], [0.928, 0.928, 0.856], [0.188, 0.188, 0.377], [0.812, 0.812, 0.623], [0.000, 0.000, 0.000], [0.591, 0.091, 0.182], [0.909, 0.409, 0.818], [0.091, 0.591, 0.182], [0.409, 0.909, 0.818]]}